V2SiRuF | PBE+U | optimized geometry

Unit cell a=4.902 b=4.902 c=4.478 alpha=90.00 beta=90.00 gamma=90.00
Element x y z (fractional)
V 0.000 0.500 0.000
V 0.500 0.000 0.000
Si 0.000 0.000 0.500
Ru 0.000 0.000 0.000
F 0.500 0.500 0.500

## Properties
Final energy = -28.166 eV for the cell shown
D(E_F) = 2.89 states/eV/f.u.